{
  "formula": "Mg2InWO6",
  "functional": "PBE+U",
  "state": "optimized geometry",
  "total_magnetization_mub_per_cell": 1.00,
  "dft_energy_ev_per_atom": -6.475,
  "mass_density_g_cm3": 6.3,
  "volume_a3_per_cell": 117,
  "lattice_angstrom": [[5.271, 0.000, 0.000], [2.583, 4.633, 0.000], [2.614, 1.562, 4.781]],
  "species": ["Mg", "Mg", "In", "W", "O", "O", "O", "O", "O", "O"],
  "fractional_positions": [[0.000, 0.000, 0.000], [0.498, 0.484, 0.512], [0.290, 0.279, 0.145], [0.793, 0.793, 0.619], [0.051, 0.704, 0.820], [0.182, 0.598, 0.333], [0.405, 0.073, 0.815], [0.600, 0.871, 0.344], [0.693, 0.404, 0.822], [0.878, 0.184, 0.330]]
}